No. 1
# TlSb4Ir PBE optimized geometry
# Total energy, eV/atom: -3.814
data_TlSb4Ir
_cell_length_a 8.6951
_cell_length_b 8.6951
_cell_length_c 8.6951
_cell_angle_alpha 90.00
_cell_angle_beta 90.00
_cell_angle_gamma 90.00
_symmetry_space_group_name_H-M 'F -4 3 m'
_symmetry_Int_Tables_number 216
_symmetry_space_group_name_Hall 'F -4 2 3'
loop_
_atom_site_label
_atom_site_type_symbol
_atom_site_fract_x
_atom_site_fract_y
_atom_site_fract_z
Tl1 Tl 0.0000 0.0000 0.0000
Sb1 Sb 0.1252 0.1252 0.3748
Ir1 Ir 0.2500 0.2500 0.7500

***

No. 2
# TlSbIr PBE optimized geometry
# Distance to the lowest polymorph of the same formula, kcal/mol of atoms: 0.96
data_TlSbIr
_cell_length_a 3.1483
_cell_length_b 3.4394
_cell_length_c 13.2061
_cell_angle_alpha 90.00
_cell_angle_beta 90.00
_cell_angle_gamma 90.00
_symmetry_space_group_name_H-M 'I m m 2'
_symmetry_Int_Tables_number 44
loop_
_symmetry_equiv_pos_as_xyz
'x,y,z'
'-x,-y,z'
'-x,y,z'
'x,-y,z'
'x+1/2,y+1/2,z+1/2'
'-x+1/2,-y+1/2,z+1/2'
'-x+1/2,y+1/2,z+1/2'
'x+1/2,-y+1/2,z+1/2'
loop_
_atom_site_label
_atom_site_type_symbol
_atom_site_fract_x
_atom_site_fract_y
_atom_site_fract_z
Tl1 Tl 0.0000 0.0000 0.0000
Sb1 Sb 0.0000 0.0000 0.2686
Ir1 Ir 0.0000 0.0000 0.6631

***

No. 3
# TlSbIr PBE optimized geometry
# Distance to the lowest polymorph of the same formula, kcal/mol of atoms: 0.85
data_TlSbIr
_cell_length_a 3.9490
_cell_length_b 3.9490
_cell_length_c 19.5838
_cell_angle_alpha 90.00
_cell_angle_beta 90.00
_cell_angle_gamma 90.00
_symmetry_space_group_name_H-M 'I 4/m m m'
_symmetry_Int_Tables_number 139
_symmetry_space_group_name_Hall '-I 4 2'
loop_
_atom_site_label
_atom_site_type_symbol
_atom_site_fract_x
_atom_site_fract_y
_atom_site_fract_z
Tl1 Tl 0.0000 0.0000 0.1972
Sb1 Sb 0.0000 0.0000 0.4064
Ir1 Ir 0.0000 0.5000 0.0000

***

No. 4
# TlSbIr PBE optimized geometry
# Distance to the lowest polymorph of the same formula, kcal/mol of atoms: 0.00
data_TlSbIr
_cell_length_a 6.5382
_cell_length_b 6.5382
_cell_length_c 6.5382
_cell_angle_alpha 90.00
_cell_angle_beta 90.00
_cell_angle_gamma 90.00
_symmetry_space_group_name_H-M 'F -4 3 m'
_symmetry_Int_Tables_number 216
_symmetry_space_group_name_Hall 'F -4 2 3'
loop_
_atom_site_label
_atom_site_type_symbol
_atom_site_fract_x
_atom_site_fract_y
_atom_site_fract_z
Tl1 Tl 0.0000 0.0000 0.0000
Sb1 Sb 0.0000 0.0000 0.5000
Ir1 Ir 0.2500 0.2500 0.7500

***

No. 5
# TlSbIr4 PBE optimized geometry
# Total energy, eV/atom: -6.507
data_TlSbIr4
_cell_length_a 7.5808
_cell_length_b 7.5808
_cell_length_c 7.5808
_cell_angle_alpha 90.00
_cell_angle_beta 90.00
_cell_angle_gamma 90.00
_symmetry_space_group_name_H-M 'F -4 3 m'
_symmetry_Int_Tables_number 216
_symmetry_space_group_name_Hall 'F -4 2 3'
loop_
_atom_site_label
_atom_site_type_symbol
_atom_site_fract_x
_atom_site_fract_y
_atom_site_fract_z
Tl1 Tl 0.0000 0.0000 0.0000
Sb1 Sb 0.2500 0.2500 0.2500
Ir1 Ir 0.1251 0.1251 0.6251

***

No. 6
# Tl2SbIr2 PBE optimized geometry
# Distance to the lowest polymorph of the same formula, kcal/mol of atoms: 0.00
data_Tl2SbIr2
_cell_length_a 8.0158
_cell_length_b 8.0158
_cell_length_c 3.1696
_cell_angle_alpha 90.00
_cell_angle_beta 90.00
_cell_angle_gamma 90.00
_symmetry_space_group_name_H-M 'P 4/m b m'
_symmetry_Int_Tables_number 127
_symmetry_space_group_name_Hall '-P 4 2ab'
loop_
_atom_site_label
_atom_site_type_symbol
_atom_site_fract_x
_atom_site_fract_y
_atom_site_fract_z
Tl1 Tl 0.1396 0.3604 0.0000
Sb1 Sb 0.0000 0.0000 0.5000
Ir1 Ir 0.1612 0.6612 0.5000

***

No. 7
# Tl4SbIr PBE optimized geometry
# Total energy, eV/atom: -2.921
data_Tl4SbIr
_cell_length_a 8.7317
_cell_length_b 8.7317
_cell_length_c 8.7317
_cell_angle_alpha 90.00
_cell_angle_beta 90.00
_cell_angle_gamma 90.00
_symmetry_space_group_name_H-M 'F -4 3 m'
_symmetry_Int_Tables_number 216
_symmetry_space_group_name_Hall 'F -4 2 3'
loop_
_atom_site_label
_atom_site_type_symbol
_atom_site_fract_x
_atom_site_fract_y
_atom_site_fract_z
Tl1 Tl 0.1245 0.1245 0.1245
Sb1 Sb 0.0000 0.0000 0.5000
Ir1 Ir 0.2500 0.2500 0.7500

***

No. 8
# TlSb2Ir2 PBE optimized geometry
# Distance to the lowest polymorph of the same formula, kcal/mol of atoms: 0.00
data_TlSb2Ir2
_cell_length_a 4.1687
_cell_length_b 4.1687
_cell_length_c 14.4342
_cell_angle_alpha 90.00
_cell_angle_beta 90.00
_cell_angle_gamma 90.00
_symmetry_space_group_name_H-M 'I 4/m m m'
_symmetry_Int_Tables_number 139
_symmetry_space_group_name_Hall '-I 4 2'
loop_
_atom_site_label
_atom_site_type_symbol
_atom_site_fract_x
_atom_site_fract_y
_atom_site_fract_z
Tl1 Tl 0.0000 0.0000 0.0000
Sb1 Sb 0.0000 0.0000 0.3604
Ir1 Ir 0.0000 0.5000 0.2500

***

No. 9
# Tl2SbIr2 PBE optimized geometry
# Distance to the lowest polymorph of the same formula, kcal/mol of atoms: 3.21
data_Tl2SbIr2
_cell_length_a 3.6176
_cell_length_b 3.6176
_cell_length_c 18.5670
_cell_angle_alpha 90.00
_cell_angle_beta 90.00
_cell_angle_gamma 90.00
_symmetry_space_group_name_H-M 'I 4/m m m'
_symmetry_Int_Tables_number 139
_symmetry_space_group_name_Hall '-I 4 2'
loop_
_atom_site_label
_atom_site_type_symbol
_atom_site_fract_x
_atom_site_fract_y
_atom_site_fract_z
Tl1 Tl 0.0000 0.0000 0.1191
Sb1 Sb 0.0000 0.0000 0.5000
Ir1 Ir 0.0000 0.5000 0.2500

***

No. 10
# TlSbIr PBE optimized geometry
# Distance to the lowest polymorph of the same formula, kcal/mol of atoms: 7.93
data_TlSbIr
_cell_length_a 4.7834
_cell_length_b 4.7834
_cell_length_c 3.3155
_cell_angle_alpha 90.00
_cell_angle_beta 90.00
_cell_angle_gamma 120.00
_symmetry_space_group_name_H-M 'P -6 m 2'
_symmetry_Int_Tables_number 187
_symmetry_space_group_name_Hall 'P -6 2'
loop_
_atom_site_label
_atom_site_type_symbol
_atom_site_fract_x
_atom_site_fract_y
_atom_site_fract_z
Tl1 Tl 0.0000 0.0000 0.0000
Sb1 Sb 0.6667 0.3333 0.5000
Ir1 Ir 0.3333 0.6667 0.5000

***

No. 11
# TlSb12Ir4 PBE optimized geometry
# Total energy, eV/atom: -5.434
data_TlSb12Ir4
_cell_length_a 9.4498
_cell_length_b 9.4498
_cell_length_c 9.4498
_cell_angle_alpha 90.00
_cell_angle_beta 90.00
_cell_angle_gamma 90.00
_symmetry_space_group_name_H-M 'I m -3'
_symmetry_Int_Tables_number 204
_symmetry_space_group_name_Hall '-I 2 2 3'
loop_
_atom_site_label
_atom_site_type_symbol
_atom_site_fract_x
_atom_site_fract_y
_atom_site_fract_z
Tl1 Tl 0.0000 0.0000 0.0000
Sb1 Sb 0.0000 0.3397 0.1545
Ir1 Ir 0.2500 0.2500 0.2500

***

No. 12
# TlSb2Ir2 PBE optimized geometry
# Distance to the lowest polymorph of the same formula, kcal/mol of atoms: 5.01
data_TlSb2Ir2
_cell_length_a 4.7474
_cell_length_b 4.7474
_cell_length_c 10.2391
_cell_angle_alpha 90.00
_cell_angle_beta 90.00
_cell_angle_gamma 90.00
_symmetry_space_group_name_H-M 'I 4/m m m'
_symmetry_Int_Tables_number 139
_symmetry_space_group_name_Hall '-I 4 2'
loop_
_atom_site_label
_atom_site_type_symbol
_atom_site_fract_x
_atom_site_fract_y
_atom_site_fract_z
Tl1 Tl 0.0000 0.0000 0.0000
Sb1 Sb 0.0000 0.5000 0.2500
Ir1 Ir 0.0000 0.0000 0.3721